First-principles (GGA-PBE) data for crystalline DyGaPb at its relaxed geometry, as listed in Alexandria via LeMat-Bulk.

a = 11.7596 Å, b = 3.7134 Å, c = 7.6636 Å
α = 90.00°, β = 105.01°, γ = 90.00°
With the nearest neighbours (Å) after each atom.
Space group C2/m (No. 12)
Inequivalent atoms, fractional coordinates:
Dy 0.1570 0.0000 0.1488  3 Ga 3.04-3.12, 5 Pb 3.17-3.35
Ga 0.1694 0.5000 0.4807  2 Ga 2.61, 1 Pb 2.91
Pb 0.0657 0.5000 0.7872  2 Ga 2.91-2.99, 1 Dy 3.17

Calculated values
Raw total energy: -48.4 eV for the cell shown
Energy above the lowest structure with this stoichiometry: 0.133 eV per atom
E_form: -251 meV/atom

***

First-principles (GGA-PBE) data for crystalline DyGaPb at its relaxed geometry, as listed in Alexandria via LeMat-Bulk.

a = 4.5532 Å, b = 15.8773 Å, c = 4.2404 Å
α = 90.00°, β = 90.00°, γ = 90.00°
With the nearest neighbours (Å) after each atom.
Space group Cmcm (No. 63)
Inequivalent atoms, fractional coordinates:
Dy 0.0000 0.0868 0.2500  6 Ga 3.16, 2 Pb 3.26, 2 Dy 3.48
Ga 0.0000 0.4489 0.2500  2 Ga 2.67
Pb 0.0000 0.2664 0.7500  4 Pb 3.15, 2 Dy 3.26

Calculated values
Raw total energy: -50.0 eV for the cell shown
Energy above the lowest structure with this stoichiometry: 0.000 eV per atom
E_form: -383 meV/atom